# 1
The following is a DFT calculation (PBE-GGA) of a relaxed structure of Pr3Ga5Pd6.

Lattice parameters (Å, degrees): 4.2927 9.8650 13.0632 90.00 90.00 90.00
Last column: nearest neighbours and their distance in Å.
Positions (direct):
Pr 0.0000 0.2488 0.6692  8 Pd 3.14-3.46, 6 Ga 3.19-3.26
Pr 0.5000 0.7512 0.1692  8 Pd 3.14-3.46, 6 Ga 3.19-3.26
Pr 0.5000 0.7512 0.8308  8 Pd 3.14-3.46, 6 Ga 3.19-3.26
Pr 0.0000 0.2497 0.0000  6 Ga 3.09-3.24, 6 Pd 3.24-3.31
Pr 0.5000 0.7503 0.5000  6 Ga 3.09-3.24, 6 Pd 3.24-3.31
Pr 0.0000 0.2488 0.3308  8 Pd 3.14-3.46, 6 Ga 3.19-3.26
Ga 0.0000 0.5233 0.8849  5 Pd 2.54-2.69
Ga 0.0000 0.8568 0.6673  5 Pd 2.56-2.60
Ga 0.0000 0.8596 0.0000  4 Pd 2.57-2.59
Ga 0.5000 0.4767 0.6151  5 Pd 2.54-2.69
Ga 0.5000 0.1404 0.5000  4 Pd 2.57-2.59
Ga 0.0000 0.5233 0.1151  5 Pd 2.54-2.69
Ga 0.5000 0.4767 0.3849  5 Pd 2.54-2.69
Ga 0.0000 0.8568 0.3327  5 Pd 2.56-2.60
Ga 0.5000 0.1432 0.8327  5 Pd 2.56-2.60
Ga 0.5000 0.1432 0.1673  5 Pd 2.56-2.60
Pd 0.0000 0.0023 0.8336  4 Ga 2.56-2.60
Pd 0.5000 0.9977 0.6664  4 Ga 2.56-2.60
Pd 0.5000 0.4027 0.8011  4 Ga 2.54-2.69, 1 Pd 2.79
Pd 0.5000 0.5047 0.0000  4 Ga 2.63, 2 Pd 2.79
Pd 0.0000 0.4953 0.5000  4 Ga 2.63, 2 Pd 2.79
Pd 0.0000 0.5973 0.6989  4 Ga 2.54-2.69, 1 Pd 2.79
Pd 0.0000 0.5973 0.3011  4 Ga 2.54-2.69, 1 Pd 2.79
Pd 0.5000 0.0035 0.0000  4 Ga 2.57-2.58
Pd 0.0000 0.0023 0.1664  4 Ga 2.56-2.60
Pd 0.5000 0.4027 0.1989  4 Ga 2.54-2.69, 1 Pd 2.79
Pd 0.0000 0.9965 0.5000  4 Ga 2.57-2.58
Pd 0.5000 0.9977 0.3336  4 Ga 2.56-2.60

Results
- calculated total energy (eV per atom) = -5.11
- ΔH_f (0 K) (eV/atom) = -0.784
- SG = Pmmn

# 2
The following is a DFT calculation (PBE-GGA) of a relaxed structure of PrGa2Pd7.

Lattice parameters (Å, degrees): 4.6294 7.1080 7.1080 117.95 90.00 90.00
Last column: nearest neighbours and their distance in Å.
Positions (direct):
Pr 0.0000 0.0000 0.0000  10 Pd 2.84-3.08
Ga 0.5000 0.7002 0.2998  7 Pd 2.44-2.56
Ga 0.5000 0.2998 0.7002  7 Pd 2.44-2.56
Pd 0.0000 0.7665 0.2335  2 Ga 2.45
Pd 0.0000 0.2335 0.7665  2 Ga 2.45
Pd 0.5000 0.0661 0.3108  2 Ga 2.47-2.56, 2 Pd 2.73-2.76
Pd 0.5000 0.9339 0.6892  2 Ga 2.47-2.56, 2 Pd 2.73-2.76
Pd 0.5000 0.3108 0.0661  2 Ga 2.47-2.56, 2 Pd 2.73-2.76
Pd 0.5000 0.6892 0.9339  2 Ga 2.47-2.56, 2 Pd 2.73-2.76
Pd 0.5000 0.5000 0.5000  2 Ga 2.44, 4 Pd 2.73

Results
- calculated total energy (eV per atom) = -5.00
- ΔH_f (0 K) (eV/atom) = -0.279
- SG = Cmmm

# 3
The following is a DFT calculation (PBE-GGA) of a relaxed structure of Pr2Ga5Pd.

Lattice parameters (Å, degrees): 6.3295 6.3295 6.3295 88.22 121.04 121.04
Last column: nearest neighbours and their distance in Å.
Positions (direct):
Pr 0.5000 0.2436 0.7436  10 Ga 3.12-3.18
Pr 0.5000 0.7436 0.2436  10 Ga 3.12-3.18
Ga 0.4247 0.7057 0.7057  1 Pd 2.53, 3 Ga 2.65-2.77
Ga 0.0000 0.7057 0.2810  1 Pd 2.53, 3 Ga 2.65-2.77
Ga 0.0000 0.2810 0.7057  1 Pd 2.53, 3 Ga 2.65-2.77
Ga 0.5753 0.2810 0.2810  1 Pd 2.53, 3 Ga 2.65-2.77
Ga 0.0000 0.2690 0.2690  1 Pd 2.51, 4 Ga 2.77
Pd 0.0000 0.9926 0.9926  5 Ga 2.51-2.53

Results
- calculated total energy (eV per atom) = -4.30
- ΔH_f (0 K) (eV/atom) = -0.568
- SG = I4mm

# 4
The following is a DFT calculation (PBE-GGA) of a relaxed structure of Pr2Ga3Pd4.

Lattice parameters (Å, degrees): 5.7137 7.7253 8.3510 90.00 110.00 90.00
Last column: nearest neighbours and their distance in Å.
Positions (direct):
Pr 0.1101 0.5836 0.2202  8 Pd 3.04-3.33, 4 Ga 3.16-3.40
Pr 0.8899 0.4164 0.7798  8 Pd 3.04-3.33, 4 Ga 3.16-3.40
Pr 0.3899 0.0836 0.7798  8 Pd 3.04-3.33, 4 Ga 3.16-3.40
Pr 0.6101 0.9164 0.2202  8 Pd 3.04-3.33, 4 Ga 3.16-3.40
Ga 0.0000 0.0000 0.0000  6 Pd 2.59-2.89
Ga 0.5000 0.5000 0.0000  6 Pd 2.59-2.89
Ga 0.5202 0.7500 0.5403  5 Pd 2.61-2.67, 2 Ga 2.86
Ga 0.9798 0.2500 0.4597  5 Pd 2.61-2.67, 2 Ga 2.86
Ga 0.4798 0.2500 0.4597  5 Pd 2.61-2.67, 2 Ga 2.86
Ga 0.0202 0.7500 0.5403  5 Pd 2.61-2.67, 2 Ga 2.86
Pd 0.6877 0.7500 0.8754  3 Ga 2.59-2.63, 2 Pd 2.86
Pd 0.8123 0.2500 0.1246  3 Ga 2.59-2.63, 2 Pd 2.86
Pd 0.3123 0.2500 0.1246  3 Ga 2.59-2.63, 2 Pd 2.86
Pd 0.1877 0.7500 0.8754  3 Ga 2.59-2.63, 2 Pd 2.86
Pd 0.1839 0.9829 0.3679  5 Ga 2.61-2.89
Pd 0.8161 0.0171 0.6321  5 Ga 2.61-2.89
Pd 0.3161 0.4829 0.6321  5 Ga 2.61-2.89
Pd 0.6839 0.5171 0.3679  5 Ga 2.61-2.89

Results
- calculated total energy (eV per atom) = -5.18
- ΔH_f (0 K) (eV/atom) = -0.798
- SG = Cmce

# 5
The following is a DFT calculation (PBE-GGA) of a relaxed structure of Pr6Ga3Pd.

Lattice parameters (Å, degrees): 5.2281 9.0960 11.9997 90.00 90.01 90.00
Last column: nearest neighbours and their distance in Å.
Positions (direct):
Pr 0.5002 0.1684 0.9144  3 Ga 3.19-3.48, 2 Pd 3.20
Pr 0.5002 0.1682 0.5807  1 Pd 3.17, 3 Ga 3.18-3.54
Pr 0.5003 0.4999 0.2513  1 Pd 2.98, 4 Ga 3.02-3.04
Pr 0.4997 0.5001 0.7487  1 Pd 2.98, 4 Ga 3.02-3.04
Pr 0.4998 0.8318 0.4193  1 Pd 3.17, 3 Ga 3.18-3.54
Pr 0.4998 0.8316 0.0856  3 Ga 3.19-3.48, 2 Pd 3.20
Pr 0.0002 0.3316 0.4144  3 Ga 3.19-3.48, 2 Pd 3.20
Pr 0.0002 0.3318 0.0807  1 Pd 3.17, 3 Ga 3.18-3.54
Pr 0.0003 0.0001 0.7513  1 Pd 2.98, 4 Ga 3.02-3.04
Pr 0.9997 0.9999 0.2487  1 Pd 2.98, 4 Ga 3.02-3.04
Pr 0.9998 0.6682 0.9193  1 Pd 3.17, 3 Ga 3.18-3.54
Pr 0.9998 0.6684 0.5856  3 Ga 3.19-3.48, 2 Pd 3.20
Ga 0.5003 0.8332 0.7302  3 Pr 3.03-3.04
Ga 0.5000 0.5000 0.0000  8 Pr 3.02-3.19
Ga 0.4997 0.1668 0.2698  3 Pr 3.03-3.04
Ga 0.0003 0.6668 0.2302  3 Pr 3.03-3.04
Ga 0.0000 0.0000 0.5000  8 Pr 3.02-3.19
Ga 0.9997 0.3332 0.7698  3 Pr 3.03-3.04
Pd 0.5000 0.5000 0.5000  8 Pr 2.98-3.20
Pd 0.0000 0.0000 0.0000  8 Pr 2.98-3.20

Results
- calculated total energy (eV per atom) = -4.71
- ΔH_f (0 K) (eV/atom) = -0.412
- SG = Pnnm

# 6
The following is a DFT calculation (PBE-GGA) of a relaxed structure of PrGa2Pd.

Lattice parameters (Å, degrees): 3.3507 3.3507 7.0535 90.00 90.00 90.00
Last column: nearest neighbours and their distance in Å.
Positions (direct):
Pr 0.5000 0.5000 0.5000  8 Ga 3.21, 4 Pr 3.35, 2 Pd 3.53
Ga 0.0000 0.0000 0.8067  1 Ga 2.73, 4 Pd 2.73
Ga 0.0000 0.0000 0.1933  1 Ga 2.73, 4 Pd 2.73
Pd 0.5000 0.5000 0.0000  8 Ga 2.73

Results
- calculated total energy (eV per atom) = -4.57
- ΔH_f (0 K) (eV/atom) = -0.562
- SG = P4/mmm